Record 1
DFT (GGA-PBE) results for an optimized crystal structure of TmNi3.

Cell lengths 4.9261, 4.9261, 24.1775 Å; angles 90.00, 90.00, 120.00 degrees
Space group R-3m (No. 166, hexagonal axes)
Inequivalent atoms, fractional coordinates:
Tm: 0.0000 0.0000 0.0000 x3
Tm: 0.0000 0.0000 0.1391 x6
Ni: 0.0000 0.0000 0.3332 x6
Ni: 0.0000 0.0000 0.5000 x3
Ni: 0.0017 0.5009 0.9175 x18

Output
* final energy: -5.90 eV per atom
* calculated formation energy: -0.445 eV per atom


Record 2
DFT (GGA-PBE) results for an optimized crystal structure of Tm4Ni.

Cell lengths 8.5843, 8.5843, 3.4620 Å; angles 90.00, 90.00, 90.00 degrees
Space group I4/m (No. 87)
Inequivalent atoms, fractional coordinates:
Tm: 0.0730 0.2581 0.0000 x8
Ni: 0.0000 0.0000 0.5000 x2

Output
* final energy: -4.90 eV per atom
* energy relative to the lowest polymorph listed for this composition: 0.000 eV/atom
* calculated formation energy: -0.168 eV per atom


Record 3
DFT (GGA-PBE) results for an optimized crystal structure of TmNi3.

Cell lengths 5.5074, 5.5074, 19.2904 Å; angles 90.00, 90.00, 120.00 degrees
Space group R-3m (No. 166, hexagonal axes)
Inequivalent atoms, fractional coordinates:
Tm: 0.0000 0.0000 0.0000 x3
Tm: 0.0000 0.0000 0.2179 x6
Ni: 0.0000 0.5000 0.0000 x9
Ni: 0.0397 0.5199 0.2241 x18

Output
* final energy: -5.79 eV per atom
* calculated formation energy: -0.337 eV per atom